# 1
Below is Na3Zn2F7 after structural relaxation, with properties calculated at the PBE level.

**Symmetry**: I4/mmm
**Calculated total energy**: -4.0981 eV per atom
**Crystal system**: tetragonal

Unit cell a=10.0319 b=10.0319 c=10.0319 alpha=157.40 beta=157.40 gamma=32.18
Fractional positions:
F 0.9001 0.4001 0.5000
F 0.0999 0.5999 0.5000
F 0.4001 0.9001 0.5000
F 0.5999 0.0999 0.5000
F 0.0000 0.0000 0.0000
F 0.7932 0.7932 0.0000
F 0.2068 0.2068 0.0000
Zn 0.1047 0.1047 0.0000
Zn 0.8953 0.8953 0.0000
Na 0.6832 0.6832 0.0000
Na 0.5000 0.5000 0.0000
Na 0.3168 0.3168 0.0000

# 2
Below is LiHoPbS3 after structural relaxation, with properties calculated at the PBE level.

**Symmetry**: C2/m
**Calculated total energy**: -5.1492 eV per atom
**Crystal system**: monoclinic
**Offset from the most stable computed form**: 0 meV/atom

Unit cell a=8.6650 b=8.6650 c=8.3372 alpha=103.74 beta=103.74 gamma=26.20
Fractional positions:
Ho 0.1651 0.1651 0.0871
Ho 0.8349 0.8349 0.9129
Pb 0.8668 0.8668 0.4354
Pb 0.1332 0.1332 0.5646
Li 0.5047 0.5047 0.1982
Li 0.4953 0.4953 0.8018
S 0.6677 0.6677 0.8597
S 0.0000 0.0000 0.0000
S 0.6716 0.6716 0.3117
S 0.3323 0.3323 0.1403
S 0.5000 0.5000 0.5000
S 0.3284 0.3284 0.6883

# 3
Below is RbNbB4 after structural relaxation, with properties calculated at the PBE level.

**Symmetry**: P6/mmm
**Calculated total energy**: -6.4653 eV per atom
**Crystal system**: hexagonal
**Offset from the most stable computed form**: 0 meV/atom

Unit cell a=3.1025 b=3.1025 c=8.6546 alpha=90.00 beta=90.00 gamma=120.00
Fractional positions:
B 0.6667 0.3333 0.3078
B 0.6667 0.3333 0.6922
B 0.3333 0.6667 0.6922
B 0.3333 0.6667 0.3078
Rb 0.0000 0.0000 0.0000
Nb 0.0000 0.0000 0.5000

# 4
Below is HfInAgTe3 after structural relaxation, with properties calculated at the PBE level.

**Symmetry**: Pnma
**Calculated total energy**: -4.5588 eV per atom
**Crystal system**: orthorhombic
**Offset from the most stable computed form**: 44 meV/atom

Unit cell a=4.1605 b=12.6680 c=13.3623 alpha=90.00 beta=90.00 gamma=90.00
Fractional positions:
Te 0.2500 0.5656 0.9160
Te 0.2500 0.9344 0.4160
Te 0.7500 0.8230 0.7460
Te 0.2500 0.8322 0.0106
Te 0.2500 0.6678 0.5106
Te 0.7500 0.0656 0.5840
Te 0.7500 0.4344 0.0840
Te 0.2500 0.3230 0.7540
Te 0.7500 0.6770 0.2460
Te 0.7500 0.3322 0.4894
Te 0.7500 0.1678 0.9894
Te 0.2500 0.1770 0.2540
In 0.7500 0.4971 0.6792
In 0.2500 0.5029 0.3208
In 0.7500 0.0029 0.1792
In 0.2500 0.9971 0.8208
Hf 0.7500 0.6711 0.0387
Hf 0.2500 0.1711 0.4613
Hf 0.2500 0.3289 0.9613
Hf 0.7500 0.8289 0.5387
Ag 0.7500 0.3350 0.2769
Ag 0.7500 0.1650 0.7769
Ag 0.2500 0.6650 0.7231
Ag 0.2500 0.8350 0.2231

# 5
Below is PuCdRe after structural relaxation, with properties calculated at the PBE level.

**Symmetry**: F-43m
**Calculated total energy**: -7.9220 eV per atom
**Crystal system**: cubic
**Offset from the most stable computed form**: 575 meV/atom

Unit cell a=4.5833 b=4.5833 c=4.5833 alpha=60.00 beta=60.00 gamma=60.00
Fractional positions:
Pu 0.0000 0.0000 0.0000
Cd 0.2500 0.2500 0.2500
Re 0.7500 0.7500 0.7500

# 6
Below is SiBW after structural relaxation, with properties calculated at the PBE level.

**Symmetry**: F-43m
**Calculated total energy**: -7.1751 eV per atom
**Crystal system**: cubic
**Offset from the most stable computed form**: 615 meV/atom

Unit cell a=3.8834 b=3.8834 c=3.8834 alpha=60.00 beta=60.00 gamma=60.00
Fractional positions:
B 0.2500 0.2500 0.2500
W 0.7500 0.7500 0.7500
Si 0.0000 0.0000 0.0000

# 7
Below is TbHBrCl after structural relaxation, with properties calculated at the PBE level.

**Symmetry**: P-3m1
**Calculated total energy**: -4.5330 eV per atom
**Crystal system**: trigonal

Unit cell a=3.8064 b=3.8064 c=14.5169 alpha=90.00 beta=90.00 gamma=120.00
Fractional positions:
H 0.3333 0.6667 0.7473
H 0.6667 0.3333 0.2527
Br 0.6667 0.3333 0.8792
Br 0.3333 0.6667 0.1208
Tb 0.0000 0.0000 0.2543
Tb 0.0000 0.0000 0.7457
Cl 0.6667 0.3333 0.6264
Cl 0.3333 0.6667 0.3736

# 8
Below is Li4CoAgGe2 after structural relaxation, with properties calculated at the PBE level.

**Symmetry**: P-4m2
**Calculated total energy**: -3.6292 eV per atom
**Crystal system**: tetragonal

Unit cell a=4.2157 b=4.2157 c=6.1242 alpha=90.00 beta=90.00 gamma=90.00
Fractional positions:
Li 0.0000 0.5000 0.2633
Li 0.5000 0.0000 0.7367
Li 0.0000 0.0000 0.5000
Li 0.5000 0.5000 0.0000
Ge 0.0000 0.5000 0.7101
Ge 0.5000 0.0000 0.2899
Ag 0.0000 0.0000 0.0000
Co 0.5000 0.5000 0.5000